# Sc2HgCl (PBE-GGA, optimized geometry)
# E_form (uncorrected)   -0.79 eV per atom
# Relative energy among the computed polymorphs   0.0000 eV per atom
# Density of states at the Fermi level   3.446 states/eV/f.u.
data_Sc2HgCl
_cell_length_a 5.057
_cell_length_b 5.057
_cell_length_c 3.437
_cell_angle_alpha 90.00
_cell_angle_beta 90.00
_cell_angle_gamma 90.00
_symmetry_space_group_name_H-M 'P 4/m m m'
_symmetry_Int_Tables_number 123
_symmetry_space_group_name_Hall '-P 4 2'
loop_
_atom_site_label
_atom_site_type_symbol
_atom_site_fract_x
_atom_site_fract_y
_atom_site_fract_z
Sc1 Sc 0.000 0.500 0.000
Hg1 Hg 0.000 0.000 0.500
Cl1 Cl 0.500 0.500 0.000

# ZrIn2Os (PBE-GGA, optimized geometry)
# Formation enthalpy at 0 K   0.17 eV per atom
# Density of states at the Fermi level   3.282 states/eV/f.u.
data_ZrIn2Os
_cell_length_a 4.227
_cell_length_b 4.227
_cell_length_c 8.780
_cell_angle_alpha 90.00
_cell_angle_beta 90.00
_cell_angle_gamma 90.00
_symmetry_space_group_name_H-M 'I 4/m m m'
_symmetry_Int_Tables_number 139
_symmetry_space_group_name_Hall '-I 4 2'
loop_
_atom_site_label
_atom_site_type_symbol
_atom_site_fract_x
_atom_site_fract_y
_atom_site_fract_z
Zr1 Zr 0.000 0.000 0.000
In1 In 0.000 0.500 0.250
Os1 Os 0.000 0.000 0.500

# BeSbOs3 (PBE-GGA, optimized geometry)
# E_form (uncorrected)   0.78 eV per atom
# Relative energy among the computed polymorphs   0.0000 eV per atom
# Density of states at the Fermi level   4.845 states/eV/f.u.
data_BeSbOs3
_cell_length_a 4.195
_cell_length_b 4.195
_cell_length_c 4.195
_cell_angle_alpha 90.00
_cell_angle_beta 90.00
_cell_angle_gamma 90.00
_symmetry_space_group_name_H-M 'P m -3 m'
_symmetry_Int_Tables_number 221
_symmetry_space_group_name_Hall '-P 4 2 3'
loop_
_atom_site_label
_atom_site_type_symbol
_atom_site_fract_x
_atom_site_fract_y
_atom_site_fract_z
Be1 Be 0.000 0.000 0.000
Sb1 Sb 0.500 0.500 0.500
Os1 Os 0.000 0.000 0.500

# CaZn2Au2 (PBE-GGA, optimized geometry)
# Relative energy among the computed polymorphs   0.1192 eV per atom
# Formation enthalpy at 0 K   -0.39 eV per atom
# Density of states at the Fermi level   1.750 states/eV/f.u.
data_CaZn2Au2
_cell_length_a 7.760
_cell_length_b 7.760
_cell_length_c 3.112
_cell_angle_alpha 90.00
_cell_angle_beta 90.00
_cell_angle_gamma 90.00
_symmetry_space_group_name_H-M 'P 4/m b m'
_symmetry_Int_Tables_number 127
_symmetry_space_group_name_Hall '-P 4 2ab'
loop_
_atom_site_label
_atom_site_type_symbol
_atom_site_fract_x
_atom_site_fract_y
_atom_site_fract_z
Ca1 Ca 0.000 0.000 0.000
Zn1 Zn 0.119 0.381 0.000
Au1 Au 0.179 0.679 0.500

# Tb5CoSb2 (PBE-GGA, optimized geometry)
# E_form (uncorrected)   -0.37 eV per atom
# Relative energy among the computed polymorphs   0.3408 eV per atom
# Density of states at the Fermi level   5.532 states/eV/f.u.
data_Tb5CoSb2
_cell_length_a 5.790
_cell_length_b 9.469
_cell_length_c 15.776
_cell_angle_alpha 90.00
_cell_angle_beta 90.00
_cell_angle_gamma 90.00
_symmetry_space_group_name_H-M 'C m c m'
_symmetry_Int_Tables_number 63
_symmetry_space_group_name_Hall '-C 2c 2'
loop_
_atom_site_label
_atom_site_type_symbol
_atom_site_fract_x
_atom_site_fract_y
_atom_site_fract_z
Tb1 Tb 0.000 0.070 0.103
Tb2 Tb 0.000 0.256 0.750
Tb3 Tb 0.000 0.402 0.134
Co1 Co 0.000 0.182 0.250
Sb1 Sb 0.000 0.272 0.559

# Tl2CdI2 (PBE-GGA, optimized geometry)
# E_form (uncorrected)   -0.35 eV per atom
# Relative energy among the computed polymorphs   0.0489 eV per atom
# Density of states at the Fermi level   0.005 states/eV/f.u.
data_Tl2CdI2
_cell_length_a 9.850
_cell_length_b 9.850
_cell_length_c 4.296
_cell_angle_alpha 90.00
_cell_angle_beta 90.00
_cell_angle_gamma 90.00
_symmetry_space_group_name_H-M 'P 4/m b m'
_symmetry_Int_Tables_number 127
_symmetry_space_group_name_Hall '-P 4 2ab'
loop_
_atom_site_label
_atom_site_type_symbol
_atom_site_fract_x
_atom_site_fract_y
_atom_site_fract_z
Tl1 Tl 0.148 0.352 0.000
Cd1 Cd 0.000 0.000 0.500
I1 I 0.146 0.646 0.500

# GdPaPt4 (PBE-GGA, optimized geometry)
# Formation enthalpy at 0 K   -0.96 eV per atom
# Density of states at the Fermi level   4.017 states/eV/f.u.
data_GdPaPt4
_cell_length_a 7.705
_cell_length_b 7.705
_cell_length_c 7.705
_cell_angle_alpha 90.00
_cell_angle_beta 90.00
_cell_angle_gamma 90.00
_symmetry_space_group_name_H-M 'F -4 3 m'
_symmetry_Int_Tables_number 216
_symmetry_space_group_name_Hall 'F -4 2 3'
loop_
_atom_site_label
_atom_site_type_symbol
_atom_site_fract_x
_atom_site_fract_y
_atom_site_fract_z
Gd1 Gd 0.000 0.000 0.000
Pa1 Pa 0.250 0.250 0.250
Pt1 Pt 0.125 0.125 0.625

# Pm2HoPu (PBE-GGA, optimized geometry)
# Relative energy among the computed polymorphs   0.0373 eV per atom
# Formation enthalpy at 0 K   0.15 eV per atom
# Density of states at the Fermi level   15.908 states/eV/f.u.
data_Pm2HoPu
_cell_length_a 5.030
_cell_length_b 5.030
_cell_length_c 5.010
_cell_angle_alpha 90.00
_cell_angle_beta 90.00
_cell_angle_gamma 90.00
_symmetry_space_group_name_H-M 'P 4/m m m'
_symmetry_Int_Tables_number 123
_symmetry_space_group_name_Hall '-P 4 2'
loop_
_atom_site_label
_atom_site_type_symbol
_atom_site_fract_x
_atom_site_fract_y
_atom_site_fract_z
Pm1 Pm 0.000 0.500 0.000
Ho1 Ho 0.000 0.000 0.500
Pu1 Pu 0.500 0.500 0.500

# VCrPt3 (PBE-GGA, optimized geometry)
# Relative energy among the computed polymorphs   1.1434 eV per atom
# Formation enthalpy at 0 K   0.75 eV per atom
# Density of states at the Fermi level   5.043 states/eV/f.u.
data_VCrPt3
_cell_length_a 4.623
_cell_length_b 4.623
_cell_length_c 4.623
_cell_angle_alpha 90.00
_cell_angle_beta 90.00
_cell_angle_gamma 90.00
_symmetry_space_group_name_H-M 'P m -3 m'
_symmetry_Int_Tables_number 221
_symmetry_space_group_name_Hall '-P 4 2 3'
loop_
_atom_site_label
_atom_site_type_symbol
_atom_site_fract_x
_atom_site_fract_y
_atom_site_fract_z
V1 V 0.000 0.000 0.000
Cr1 Cr 0.500 0.500 0.500
Pt1 Pt 0.000 0.000 0.500

# SrOsPd3 (PBE-GGA, optimized geometry)
# Relative energy among the computed polymorphs   0.0000 eV per atom
# Formation enthalpy at 0 K   0.46 eV per atom
# Density of states at the Fermi level   6.051 states/eV/f.u.
data_SrOsPd3
_cell_length_a 4.913
_cell_length_b 4.913
_cell_length_c 4.913
_cell_angle_alpha 90.00
_cell_angle_beta 90.00
_cell_angle_gamma 90.00
_symmetry_space_group_name_H-M 'P m -3 m'
_symmetry_Int_Tables_number 221
_symmetry_space_group_name_Hall '-P 4 2 3'
loop_
_atom_site_label
_atom_site_type_symbol
_atom_site_fract_x
_atom_site_fract_y
_atom_site_fract_z
Sr1 Sr 0.000 0.000 0.000
Os1 Os 0.500 0.500 0.500
Pd1 Pd 0.000 0.500 0.500

# AlAu2SI (PBE-GGA, optimized geometry)
# E_form (uncorrected)   0.85 eV per atom
# Density of states at the Fermi level   1.552 states/eV/f.u.
data_AlAu2SI
_cell_length_a 5.315
_cell_length_b 5.315
_cell_length_c 5.353
_cell_angle_alpha 90.00
_cell_angle_beta 90.00
_cell_angle_gamma 90.00
_symmetry_space_group_name_H-M 'P 4/m m m'
_symmetry_Int_Tables_number 123
_symmetry_space_group_name_Hall '-P 4 2'
loop_
_atom_site_label
_atom_site_type_symbol
_atom_site_fract_x
_atom_site_fract_y
_atom_site_fract_z
Al1 Al 0.000 0.000 0.000
Au1 Au 0.000 0.500 0.500
S1 S 0.500 0.500 0.000
I1 I 0.500 0.500 0.500

# SrYGaAg (PBE-GGA, optimized geometry)
# Formation enthalpy at 0 K   -0.33 eV per atom
# Density of states at the Fermi level   4.488 states/eV/f.u.
data_SrYGaAg
_cell_length_a 7.497
_cell_length_b 7.497
_cell_length_c 7.497
_cell_angle_alpha 90.00
_cell_angle_beta 90.00
_cell_angle_gamma 90.00
_symmetry_space_group_name_H-M 'F -4 3 m'
_symmetry_Int_Tables_number 216
_symmetry_space_group_name_Hall 'F -4 2 3'
loop_
_atom_site_label
_atom_site_type_symbol
_atom_site_fract_x
_atom_site_fract_y
_atom_site_fract_z
Sr1 Sr 0.000 0.000 0.000
Y1 Y 0.000 0.000 0.500
Ga1 Ga 0.250 0.250 0.250
Ag1 Ag 0.250 0.250 0.750

# Ho2HfSc (PBE-GGA, optimized geometry)
# Relative energy among the computed polymorphs   0.0019 eV per atom
# Formation enthalpy at 0 K   0.11 eV per atom
# Density of states at the Fermi level   6.931 states/eV/f.u.
data_Ho2HfSc
_cell_length_a 3.3704
_cell_length_b 3.3704
_cell_length_c 32.6115
_cell_angle_alpha 90.00
_cell_angle_beta 90.00
_cell_angle_gamma 120.00
_symmetry_space_group_name_H-M 'R 3 m'
_symmetry_Int_Tables_number 160
_symmetry_space_group_name_Hall 'R 3 -2"'
loop_
_atom_site_label
_atom_site_type_symbol
_atom_site_fract_x
_atom_site_fract_y
_atom_site_fract_z
Ho1 Ho 0.0000 0.0000 0.0000
Ho2 Ho 0.0000 0.0000 0.1713
Hf1 Hf 0.0000 0.0000 0.5855
Sc1 Sc 0.0000 0.0000 0.4192